Ag2IBr | SCAN | PBEsol geometry

Lattice parameters (Å, degrees): 6.2739 6.2739 12.5949 90.00 90.00 90.00
Space group I-42d (No. 122)
Inequivalent atoms, fractional coordinates:
Ag: 0.2370 0.2500 0.1250 (multiplicity 8)
I: 0.0000 0.0000 0.5000 (multiplicity 4)
Br: 0.0000 0.0000 0.0000 (multiplicity 4)

Computed properties:
The total DFT energy (no corrections) is -480.4 eV/cell.